# PBE Tb2Nd3SmAs6, relaxed
# - ΔE_f (eV per atom) = -1.5209
data_Tb2Nd3SmAs6
_space_group_name_H-M_alt 'C 1 2/m 1'
_space_group_IT_number 12
_space_group_name_Hall '-C 2y'
_cell_length_a 7.309
_cell_length_b 12.656
_cell_length_c 7.306
_cell_angle_alpha 90.00
_cell_angle_beta 109.45
_cell_angle_gamma 90.00
loop_
_atom_site_label
_atom_site_type_symbol
_atom_site_fract_x
_atom_site_fract_y
_atom_site_fract_z
_atom_site_occupancy
Tb1 Tb 0.000 0.167 0.000 1
Nd1 Nd 0.000 0.000 0.500 1
Nd2 Nd 0.000 0.334 0.500 1
Sm1 Sm 0.000 0.500 0.000 1
As1 As 0.245 0.000 0.243 1
As2 As 0.249 0.332 0.244 1


## PaSClO (PBE)

Data for a relaxed PaSClO crystal.

Cell and atoms, written as CIF:
```
data_PaSClO
_space_group_name_H-M_alt 'C 1 m 1'
_space_group_IT_number 8
_space_group_name_Hall 'C -2y'
_cell_length_a 6.649
_cell_length_b 3.838
_cell_length_c 7.601
_cell_angle_alpha 90.00
_cell_angle_beta 107.04
_cell_angle_gamma 90.00
loop_
_atom_site_label
_atom_site_type_symbol
_atom_site_fract_x
_atom_site_fract_y
_atom_site_fract_z
_atom_site_occupancy
Pa1 Pa 0.000 0.000 0.000 1
S1 S 0.243 0.500 0.227 1
Cl1 Cl 0.073 0.500 0.721 1
O1 O 0.324 0.000 0.971 1
```


# PBE Hg2BMo, relaxed
# - ΔE_f (eV per atom) = 1.0319
data_Hg2BMo
_space_group_name_H-M_alt 'I -4 2 d'
_space_group_IT_number 122
_space_group_name_Hall 'I -4 2bw'
_cell_length_a 8.090
_cell_length_b 8.090
_cell_length_c 4.495
_cell_angle_alpha 90.00
_cell_angle_beta 90.00
_cell_angle_gamma 90.00
loop_
_atom_site_label
_atom_site_type_symbol
_atom_site_fract_x
_atom_site_fract_y
_atom_site_fract_z
_atom_site_occupancy
Hg1 Hg 0.146 0.250 0.125 1
B1 B 0.000 0.000 0.000 1
Mo1 Mo 0.000 0.000 0.500 1


# PBE Te2MoRu, relaxed
# - offset from the most stable computed form (eV per formula unit) = 2.38
data_Te2MoRu
_space_group_name_H-M_alt 'I -4 m 2'
_space_group_IT_number 119
_space_group_name_Hall 'I -4 -2'
_cell_length_a 3.965
_cell_length_b 3.965
_cell_length_c 9.776
_cell_angle_alpha 90.00
_cell_angle_beta 90.00
_cell_angle_gamma 90.00
loop_
_atom_site_label
_atom_site_type_symbol
_atom_site_fract_x
_atom_site_fract_y
_atom_site_fract_z
_atom_site_occupancy
Te1 Te 0.000 0.000 0.000 1
Te2 Te 0.000 0.500 0.250 1
Mo1 Mo 0.000 0.500 0.750 1
Ru1 Ru 0.000 0.000 0.500 1


## BaAgO3 (PBE)

Data for a relaxed BaAgO3 crystal.

Cell and atoms, written as CIF:
```
data_BaAgO3
_space_group_name_H-M_alt 'R 3 m'
_space_group_IT_number 160
_space_group_name_Hall 'R 3 -2"'
_cell_length_a 7.3933
_cell_length_b 7.3933
_cell_length_c 10.5002
_cell_angle_alpha 90.00
_cell_angle_beta 90.00
_cell_angle_gamma 120.00
loop_
_atom_site_label
_atom_site_type_symbol
_atom_site_fract_x
_atom_site_fract_y
_atom_site_fract_z
_atom_site_occupancy
Ba1 Ba 0.0000 0.0000 0.0000 1
Ag1 Ag 0.0000 0.0000 0.7001 1
O1 O 0.0390 0.5195 0.4057 1
```


# PBE Li2ScGa2, relaxed
# - ΔE_f (eV per atom) = -0.2291
# - offset from the most stable computed form (eV per formula unit) = 0.55
data_Li2ScGa2
_space_group_name_H-M_alt 'P 4/m b m'
_space_group_IT_number 127
_space_group_name_Hall '-P 4 2ab'
_cell_length_a 7.555
_cell_length_b 7.555
_cell_length_c 3.074
_cell_angle_alpha 90.00
_cell_angle_beta 90.00
_cell_angle_gamma 90.00
loop_
_atom_site_label
_atom_site_type_symbol
_atom_site_fract_x
_atom_site_fract_y
_atom_site_fract_z
_atom_site_occupancy
Li1 Li 0.170 0.330 0.000 1
Sc1 Sc 0.000 0.000 0.500 1
Ga1 Ga 0.127 0.627 0.500 1


# PBE NaCe2As3Rh4, relaxed
# - ΔE_f (eV per atom) = -0.7910
data_NaCe2As3Rh4
_space_group_name_H-M_alt 'P -4 m 2'
_space_group_IT_number 115
_space_group_name_Hall 'P -4 -2'
_cell_length_a 4.047
_cell_length_b 4.047
_cell_length_c 11.317
_cell_angle_alpha 90.00
_cell_angle_beta 90.00
_cell_angle_gamma 90.00
loop_
_atom_site_label
_atom_site_type_symbol
_atom_site_fract_x
_atom_site_fract_y
_atom_site_fract_z
_atom_site_occupancy
Na1 Na 0.000 0.000 0.000 1
Ce1 Ce 0.000 0.500 0.747 1
As1 As 0.000 0.500 0.373 1
As2 As 0.500 0.500 0.000 1
Rh1 Rh 0.000 0.000 0.500 1
Rh2 Rh 0.000 0.500 0.162 1
Rh3 Rh 0.500 0.500 0.500 1


# PBE InPt2W, relaxed
# - ΔE_f (eV per atom) = 0.0665
data_InPt2W
_space_group_name_H-M_alt 'I -4 m 2'
_space_group_IT_number 119
_space_group_name_Hall 'I -4 -2'
_cell_length_a 4.080
_cell_length_b 4.080
_cell_length_c 8.041
_cell_angle_alpha 90.00
_cell_angle_beta 90.00
_cell_angle_gamma 90.00
loop_
_atom_site_label
_atom_site_type_symbol
_atom_site_fract_x
_atom_site_fract_y
_atom_site_fract_z
_atom_site_occupancy
In1 In 0.000 0.000 0.000 1
Pt1 Pt 0.000 0.000 0.500 1
Pt2 Pt 0.000 0.500 0.750 1
W1 W 0.000 0.500 0.250 1


Number 1: total magnetic moment 0.00 μB per formula unit, E -6.20 eV/atom. Number 2: total magnetic moment 0.00 μB per formula unit, E -7.45 eV/atom. Number 3: total magnetic moment 1.06 μB per formula unit, E -3.50 eV/atom. Number 4: total magnetic moment 1.11 μB per formula unit, E -5.96 eV/atom. Number 5: total magnetic moment 1.00 μB per formula unit, E -4.39 eV/atom. Number 6: total magnetic moment 0.85 μB per formula unit, E -3.47 eV/atom. Number 7: total magnetic moment 0.67 μB per formula unit, E -6.45 eV/atom. Number 8: total magnetic moment 0.00 μB per formula unit, E -6.88 eV/atom.